1.
A relaxed structure of MgIn4SnS8, computed with PBE.

Cell lengths 7.8610, 7.8610, 7.8104 Å; angles 59.79, 59.79, 60.00 degrees
Closest atoms and distances in Å follow each position.
Positions (direct):
S 0.7566 0.7566 0.7303  4 In 2.63-2.73
S 0.2536 0.2536 0.7262  1 Mg 2.49, 2 In 2.63, 1 Sn 2.77
S 0.7508 0.2262 0.2722  3 In 2.52-2.68, 1 Sn 2.81
S 0.2262 0.7508 0.2722  3 In 2.52-2.68, 1 Sn 2.81
S 0.2444 0.2444 0.2669  1 Mg 2.56, 3 In 2.68
S 0.7508 0.7508 0.2722  3 In 2.52-2.68, 1 Sn 2.81
S 0.7667 0.2536 0.7262  1 Mg 2.49, 2 In 2.63, 1 Sn 2.77
S 0.2536 0.7667 0.7262  1 Mg 2.49, 2 In 2.63, 1 Sn 2.77
In 0.0025 0.0025 0.5032  6 S 2.63-2.73
In 0.6189 0.6189 0.1433  4 S 2.52-2.63
In 0.4918 0.0025 0.5032  6 S 2.63-2.73
In 0.0025 0.4918 0.5032  6 S 2.63-2.73
Mg 0.3786 0.3786 0.8643  4 S 2.49-2.56
Sn 0.0033 0.0033 0.9902  6 S 2.77-2.81

Properties
Crystal system = trigonal



2.
A relaxed structure of MgInSn2S, computed with PBE.

Cell lengths 5.5184, 4.6750, 5.5184 Å; angles 90.00, 90.00, 90.00 degrees
Closest atoms and distances in Å follow each position.
Positions (direct):
S 0.0000 0.0000 0.0000  2 Mg 2.34
In 0.5000 0.5000 0.5000  8 Sn 3.62, 4 Mg 3.90
Mg 0.0000 0.5000 0.0000  2 S 2.34
Sn 0.5000 0.0000 0.0000  2 S 2.76
Sn 0.0000 0.0000 0.5000  2 S 2.76

Properties
Crystal system = tetragonal



3.
A relaxed structure of MgTiInS4, computed with PBE.

Cell lengths 7.5889, 7.5739, 7.5743 Å; angles 57.64, 59.93, 59.93 degrees
Closest atoms and distances in Å follow each position.
Positions (direct):
Mg 0.1238 0.1262 0.1262  4 S 2.46-2.48
Mg 0.8762 0.8738 0.8738  4 S 2.46-2.48
S 0.2660 0.2544 0.2545  1 Mg 2.48, 2 Ti 2.52, 1 In 2.68
S 0.7250 0.2545 0.2544  1 Mg 2.48, 2 Ti 2.52, 1 In 2.68
S 0.7274 0.2755 0.7697  1 Mg 2.46, 1 Ti 2.48, 2 In 2.63
S 0.2750 0.7455 0.7456  1 Mg 2.48, 2 Ti 2.52, 1 In 2.68
S 0.7339 0.7456 0.7455  1 Mg 2.48, 2 Ti 2.52, 1 In 2.68
S 0.7274 0.7697 0.2755  1 Mg 2.46, 1 Ti 2.48, 2 In 2.63
S 0.2726 0.7244 0.2304  1 Mg 2.46, 1 Ti 2.48, 2 In 2.63
S 0.2726 0.2304 0.7245  1 Mg 2.46, 1 Ti 2.48, 2 In 2.63
Ti 0.5000 0.5000 0.0000  6 S 2.48-2.52
Ti 0.5000 0.0000 0.5000  6 S 2.48-2.52
In 0.5000 0.5000 0.5000  6 S 2.63-2.68
In 0.0000 0.5000 0.5000  6 S 2.63-2.68

Properties
Crystal system = orthorhombic



4.
A relaxed structure of MgTl2InS4, computed with PBE.

Cell lengths 6.6059, 6.6077, 7.1959 Å; angles 117.29, 117.29, 90.05 degrees
Closest atoms and distances in Å follow each position.
Positions (direct):
S 0.6797 0.6281 0.7376  1 Mg 2.48, 1 In 2.49
S 0.8441 0.4140 0.2066  1 Mg 2.48, 1 In 2.49
S 0.3622 0.7921 0.2063  1 Mg 2.48, 1 In 2.49
S 0.0578 0.1096 0.7373  1 Mg 2.48, 1 In 2.49
Tl 0.4859 0.9860 0.9719  4 S 2.90
Tl 0.2360 0.2358 0.4715  4 S 3.04
In 0.7359 0.7359 0.4717  4 S 2.49
Mg 0.9855 0.4855 0.9713  4 S 2.48

Properties
Crystal system = monoclinic



DFT total energy values (in eV/atom) by entry order: -4.15 -3.26 -5.15 -3.76.
Energy relative to the elements, uncorrected values (in eV/atom) by entry order: -0.608 0.031 -1.048 -0.567.